1.
A relaxed structure of Ba2CoSeN. Source: Alexandria, functional PBE-GGA.

a b c (Å): 5.778 5.778 3.621
angles (deg): 90.00 90.00 90.00
Fractional positions:
N 0.000 0.000 0.000
Ba 0.000 0.500 0.000
Se 0.500 0.500 0.500
Ba 0.500 0.000 0.000
Co 0.000 0.000 0.500

* E_form (uncorrected): -0.90 eV per atom

---

2.
A relaxed structure of TbErAlPd. Source: Alexandria, functional PBE-GGA.

a b c (Å): 5.046 5.046 5.046
angles (deg): 60.00 60.00 60.00
Fractional positions:
Al 0.250 0.250 0.250
Er 0.500 0.500 0.500
Pd 0.750 0.750 0.750
Tb 0.000 0.000 0.000

* ΔH_f (0 K): -0.582 eV/atom

---

3.
A relaxed structure of BeIrAu. Source: Alexandria, functional PBE-GGA.

a b c (Å): 5.423 5.423 5.423
angles (deg): 149.67 149.67 43.43
Fractional positions:
Ir 0.698 0.698 0.000
Au 0.985 0.985 0.000
Be 0.318 0.318 0.000

* ΔH_f (0 K): -0.129 eV/atom

---

4.
A relaxed structure of Ho5ZrAg4. Source: Alexandria, functional PBE-GGA.

a b c (Å): 3.539 3.539 19.418
angles (deg): 90.00 90.00 90.00
Fractional positions:
Ag 0.000 0.000 0.789
Ho 0.500 0.500 0.307
Ho 0.500 0.500 0.500
Ag 0.000 0.000 0.405
Ho 0.500 0.500 0.114
Ho 0.500 0.500 0.693
Zr 0.000 0.000 0.000
Ag 0.000 0.000 0.595
Ho 0.500 0.500 0.886
Ag 0.000 0.000 0.211

* ΔH_f (0 K): -0.236 eV/atom

---

5.
A relaxed structure of TaPd2PtAu. Source: Alexandria, functional PBE-GGA.

a b c (Å): 4.441 7.037 5.944
angles (deg): 102.71 90.00 90.00
Fractional positions:
Pd 0.750 0.536 0.383
Pt 0.750 0.887 0.192
Pd 0.250 0.464 0.617
Au 0.250 0.807 0.448
Pt 0.250 0.113 0.808
Ta 0.250 0.793 0.941
Pd 0.250 0.456 0.119
Au 0.750 0.193 0.552
Ta 0.750 0.207 0.059
Pd 0.750 0.544 0.881

* ΔH_f (0 K): -0.221 eV/atom

---

6.
A relaxed structure of PmSm2Ho2. Source: Alexandria, functional PBE-GGA.

a b c (Å): 6.442 6.442 11.689
angles (deg): 96.12 96.12 127.83
Fractional positions:
Ho 0.625 0.375 0.750
Pm 0.500 0.500 0.000
Ho 0.625 0.375 0.250
Sm 0.835 0.165 0.000
Sm 0.415 0.585 0.500
Ho 0.625 0.875 0.250
Pm 0.750 0.250 0.500
Sm 0.165 0.835 0.000
Ho 0.125 0.375 0.750
Sm 0.085 0.915 0.500

* ΔH_f (0 K): 0.494 eV/atom

---

7.
A relaxed structure of CdInSnBr5. Source: Alexandria, functional PBE-GGA.

a b c (Å): 8.082 8.082 10.727
angles (deg): 104.05 104.05 106.09
Fractional positions:
Cd 0.680 0.320 0.250
Br 0.661 0.080 0.380
Br 0.621 0.737 0.948
Br 0.920 0.339 0.120
Sn 0.000 0.000 0.500
Br 0.093 0.907 0.250
Sn 0.000 0.000 0.000
Br 0.080 0.661 0.880
Br 0.737 0.621 0.448
Br 0.263 0.379 0.552
In 0.340 0.660 0.250
In 0.660 0.340 0.750
Br 0.907 0.093 0.750
Cd 0.320 0.680 0.750
Br 0.339 0.920 0.620
Br 0.379 0.263 0.052

* E_form (uncorrected): -0.75 eV per atom

---

8.
A relaxed structure of TmVNi. Source: Alexandria, functional PBE-GGA.

a b c (Å): 4.216 4.216 6.464
angles (deg): 90.00 90.00 90.00
Fractional positions:
V 0.500 0.000 0.176
Tm 0.500 0.000 0.673
V 0.000 0.500 0.824
Ni 0.500 0.500 0.000
Ni 0.000 0.000 0.000
Tm 0.000 0.500 0.327

* ΔH_f (0 K): 0.124 eV/atom

---

no.,uncorrected energy (eV/atom),DOS at the Fermi energy (states/eV per atom)
1,-5.456,0.550
2,-5.114,0.800
3,-5.417,0.772
4,-4.520,0.789
5,-6.532,0.508
6,-4.175,1.704
7,-2.756,0.000
8,-6.333,1.515